Entry 1:
First-principles (PBE-GGA) data for BeTeCl2 after structural relaxation, as listed in the Alexandria database.

Calculated values
Energy above the lowest structure with this stoichiometry ... 1277.8 meV per atom
Crystal system ... tetragonal
E_form (uncorrected) ... 0.536 eV/atom
Total energy ... -2.1039 eV/atom
N(E_F) ... 0.401 states/eV per atom

```
4
Lattice="4.445 0.000 0.000 0.000 4.337 0.000 0.000 0.000 4.337" Properties=species:S:1:pos:R:3 pbc="T T T"
Be 2.223 0.000 2.168
Te 2.223 2.168 0.000
Cl 0.000 0.000 0.000
Cl 0.000 2.168 2.168
```

Entry 2:
First-principles (PBE-GGA) data for BeTeCl2 after structural relaxation, as listed in the Alexandria database.

Calculated values
Energy above the lowest structure with this stoichiometry ... 292.8 meV per atom
Crystal system ... orthorhombic
E_form (uncorrected) ... -0.449 eV/atom
Total energy ... -3.0889 eV/atom
N(E_F) ... 0.169 states/eV per atom

```
4
Lattice="-7.326 1.725 1.434 -4.753 -2.395 5.511 6.227 3.438 -2.846" Properties=species:S:1:pos:R:3 pbc="T T T"
Be -1.759 0.383 2.768
Te -4.274 -0.237 2.457
Cl -1.354 -0.075 0.779
Cl -4.504 2.362 1.568
```

Entry 3:
First-principles (PBE-GGA) data for BeTeCl after structural relaxation, as listed in the Alexandria database.

Calculated values
Energy above the lowest structure with this stoichiometry ... 1200.6 meV per atom
Crystal system ... cubic
E_form (uncorrected) ... 0.535 eV/atom
Total energy ... -2.3698 eV/atom
N(E_F) ... 0.740 states/eV per atom

```
3
Lattice="-4.305 0.901 -1.631 -3.693 -2.325 1.720 -3.117 2.224 2.710" Properties=species:S:1:pos:R:3 pbc="T T T"
Be 0.000 0.000 0.000
Te -8.337 0.600 2.099
Cl -5.558 0.400 1.399
```

Entry 4:
First-principles (PBE-GGA) data for BeTeCl2 after structural relaxation, as listed in the Alexandria database.

Calculated values
Energy above the lowest structure with this stoichiometry ... 1295.7 meV per atom
Crystal system ... orthorhombic
E_form (uncorrected) ... 0.554 eV/atom
Total energy ... -2.0861 eV/atom
N(E_F) ... 0.518 states/eV per atom

```
4
Lattice="-2.780 4.427 -0.858 -3.220 -4.159 0.630 -0.097 0.558 3.193" Properties=species:S:1:pos:R:3 pbc="T T T"
Be -1.658 -1.800 1.911
Te -1.438 2.493 1.167
Cl 0.000 0.000 0.000
Cl -3.000 0.134 -0.114
```

Entry 5:
First-principles (PBE-GGA) data for BeTeCl2 after structural relaxation, as listed in the Alexandria database.

Calculated values
Energy above the lowest structure with this stoichiometry ... 107.5 meV per atom
Crystal system ... orthorhombic
E_form (uncorrected) ... -0.634 eV/atom
Total energy ... -3.2742 eV/atom
N(E_F) ... 0.271 states/eV per atom

```
4
Lattice="3.659 -0.016 0.000 -2.417 2.748 0.000 0.000 0.000 12.194" Properties=species:S:1:pos:R:3 pbc="T T T"
Be 0.621 1.366 9.145
Te 0.621 1.366 3.048
Cl 0.000 0.000 10.602
Cl 0.000 0.000 7.688
```

Entry 6:
First-principles (PBE-GGA) data for BeTeCl2 after structural relaxation, as listed in the Alexandria database.

Calculated values
Energy above the lowest structure with this stoichiometry ... 113.0 meV per atom
Crystal system ... monoclinic
E_form (uncorrected) ... -0.628 eV/atom
Total energy ... -3.2687 eV/atom
N(E_F) ... 0.394 states/eV per atom

```
4
Lattice="5.220 -0.330 -0.807 4.582 2.523 -0.807 -1.210 -0.271 10.187" Properties=species:S:1:pos:R:3 pbc="T T T"
Be 2.470 0.553 -0.400
Te 6.687 1.496 3.872
Cl 8.430 1.886 -0.219
Cl 5.103 1.141 7.992
```

Entry 7:
First-principles (PBE-GGA) data for BeTeCl2 after structural relaxation, as listed in the Alexandria database.

Calculated values
Energy above the lowest structure with this stoichiometry ... 513.8 meV per atom
Crystal system ... trigonal
E_form (uncorrected) ... -0.228 eV/atom
Total energy ... -2.8679 eV/atom
N(E_F) ... 0.712 states/eV per atom

```
4
Lattice="9.551 0.000 0.000 9.006 3.180 0.000 9.006 1.543 2.780" Properties=species:S:1:pos:R:3 pbc="T T T"
Be 20.303 3.479 2.048
Te 13.166 2.256 1.328
Cl 0.855 0.146 0.086
Cl 7.019 1.203 0.708
```

Entry 8:
First-principles (PBE-GGA) data for BeTeCl3 after structural relaxation, as listed in the Alexandria database.

Calculated values
Energy above the lowest structure with this stoichiometry ... 596.7 meV per atom
Crystal system ... cubic
E_form (uncorrected) ... 0.360 eV/atom
Total energy ... -2.1217 eV/atom
N(E_F) ... 0.533 states/eV per atom

```
5
Lattice="-1.425 -0.385 -5.171 5.181 0.122 -1.437 0.220 -5.362 0.339" Properties=species:S:1:pos:R:3 pbc="T T T"
Be 1.988 -2.813 -3.134
Te 0.000 0.000 0.000
Cl 2.590 0.061 -0.718
Cl 0.110 -2.681 0.169
Cl -0.712 -0.192 -2.585
```